No. 1
DFT (PBE) results for a relaxed SrCuAs crystal.

Lattice parameters (Å, degrees): 4.3844 4.3844 26.8633 90.00 90.00 120.00
Space group R3m (No. 160, hexagonal axes)
Symmetry-distinct sites (fractional):
Sr (0.0000, 0.0000, 0.0000) (multiplicity 3)
Sr (0.0000, 0.0000, 0.4553) (multiplicity 3)
Cu (0.0000, 0.0000, 0.5733) (multiplicity 3)
Cu (0.0000, 0.0000, 0.8821) (multiplicity 3)
As (0.0000, 0.0000, 0.2273) (multiplicity 3)
As (0.0000, 0.0000, 0.7276) (multiplicity 3)

Output
The calculation puts the formation energy at -598.2 meV/atom. The density of states at the Fermi level is 1.4 states/eV per cell. The total moment is 0.00 Bohr magnetons per cell. Its crystal system is trigonal.

No. 2
DFT (PBE) results for a relaxed SrCuAs crystal.

Lattice parameters (Å, degrees): 4.252 7.635 8.618 90.00 90.00 90.00
Space group Immm (No. 71)
Symmetry-distinct sites (fractional):
Sr (0.000, 0.000, 0.247) (multiplicity 4)
Cu (0.000, 0.336, 0.000) (multiplicity 4)
As (0.000, 0.319, 0.500) (multiplicity 4)

Output
The calculation puts the formation energy at -652.8 meV/atom. The density of states at the Fermi level is 0.8 states/eV per cell. The total moment is 0.00 Bohr magnetons per cell. Its crystal system is orthorhombic.